A geometry-optimized InCo3Cu structure, computed with PBE.

Structure (POSCAR):
```
InCo3Cu
1.0
4.3403 0.0000 0.0000
0.0000 4.3403 0.0000
0.0000 0.0000 4.3403
In Co Cu
1 3 1
direct
0.5000 0.5000 0.5000
0.5000 0.0000 0.0000
0.0000 0.5000 0.0000
0.0000 0.0000 0.5000
0.0000 0.0000 0.0000
```

Summary:
Symmetry: Pm-3m
Energy relative to the lowest polymorph listed for this composition, eV/atom: 0.0000
Crystal system: cubic
N(E_F), states/eV per cell: 20.378
Size of the total moment, μB/atom: 1.00